Here is a relaxed structure of Cs2NaWCl6 from the Alexandria database. Energies are from GGA-PBE.

POSCAR file:
```
Cs2NaWCl6
1.0
7.503 0.000 0.000
3.752 6.498 0.000
3.752 2.166 12.597
Cl W Na Cs
12 2 2 4
Cartesian
9.517 5.495 1.428
9.244 3.327 4.868
5.489 3.169 11.169
9.244 5.337 7.729
5.489 5.495 1.428
7.503 6.658 11.169
7.503 2.006 1.428
5.762 3.327 4.868
9.517 3.169 11.169
7.503 6.342 4.868
5.762 5.337 7.729
7.503 2.321 7.729
0.000 0.000 0.000
7.503 4.332 6.298
7.503 4.332 2.924
7.503 4.332 9.672
11.255 6.498 4.804
3.752 2.166 7.792
11.255 6.498 11.021
3.752 2.166 1.576
```

**Total magnetic moment**: 6.0 μB per cell
**E_form (uncorrected)**: -1449.7 meV/atom

---

Here is a relaxed structure of Sc2CuPb from the Alexandria database. Energies are from GGA-PBE.

POSCAR file:
```
Sc2CuPb
1.0
-2.275 7.836 -2.805
-3.211 7.987 0.595
0.132 8.621 -0.345
Cu Pb Sc
1 1 2
Cartesian
-1.338 6.111 -0.639
-4.015 18.333 -1.916
-2.757 12.588 -1.316
-5.273 24.078 -2.516
```

**Energy relative to the elements**: -142.4 meV per atom
**Total magnetic moment**: 0.0 μB per cell
**D(E_F)**: 2.9 states/eV/cell